Crystalline Ca2MgPb at its relaxed geometry, computed with PBE.

Summary:
Its density of states at the Fermi level is 4.52 states/eV/f.u. The energy of formation from the pure elements comes out at -0.139 eV/atom.

a b c (Å): 10.800 10.800 10.800
angles (deg): 20.14 20.14 20.14
Last column: magnetic moment on the atom in μB.
Sites, in units of the cell vectors:
Ca (0.003, 0.003, 0.003)  0.06
Ca (0.497, 0.497, 0.497)  0.06
Pb (0.750, 0.750, 0.750)  0.01
Mg (0.250, 0.250, 0.250)  0.02